No. 1
# Lu2GaSn | the Alexandria database | GGA-PBE | relaxed
# Mass density, kg/m3: 8933
# Raw total energy, eV/atom: -4.463
# Crystal system: trigonal
# E_form, eV/atom: -0.45
# Density of states at the Fermi level, states/eV per atom: 0.678
data_Lu2GaSn
_chemical_formula_sum 'Lu6 Ga3 Sn3'
_symmetry_space_group_name_H-M 'R -3 m'
_symmetry_Int_Tables_number 166
_symmetry_space_group_name_Hall '-R 3 2"'
_cell_length_a 3.5768
_cell_length_b 3.5768
_cell_length_c 27.0980
_cell_angle_alpha 90.00
_cell_angle_beta 90.00
_cell_angle_gamma 120.00
loop_
_atom_site_label
_atom_site_type_symbol
_atom_site_fract_x
_atom_site_fract_y
_atom_site_fract_z
Lu1 Lu 0.0000 0.0000 0.2430
Ga1 Ga 0.0000 0.0000 0.5000
Sn1 Sn 0.0000 0.0000 0.0000

***

No. 2
# LuGaSn2 | the Alexandria database | GGA-PBE | relaxed
# Mass density, kg/m3: 8294
# Excess energy over the best structure of this formula in the dataset, meV per atom: 91.2
# Raw total energy, eV/atom: -4.171
# Crystal system: tetragonal
# E_form, eV/atom: -0.28
# Density of states at the Fermi level, states/eV per atom: 0.795
data_LuGaSn2
_chemical_formula_sum 'Lu1 Ga1 Sn2'
_symmetry_space_group_name_H-M 'P 4/m m m'
_symmetry_Int_Tables_number 123
_symmetry_space_group_name_Hall '-P 4 2'
_cell_length_a 3.9033
_cell_length_b 3.9033
_cell_length_c 6.3358
_cell_angle_alpha 90.00
_cell_angle_beta 90.00
_cell_angle_gamma 90.00
loop_
_atom_site_label
_atom_site_type_symbol
_atom_site_fract_x
_atom_site_fract_y
_atom_site_fract_z
Lu1 Lu 0.0000 0.0000 0.0000
Ga1 Ga 0.0000 0.0000 0.5000
Sn1 Sn 0.5000 0.5000 0.2625

***

No. 3
# LuGaSn2 | the Alexandria database | GGA-PBE | relaxed
# Mass density, kg/m3: 5068
# Excess energy over the best structure of this formula in the dataset, meV per atom: 687.2
# Raw total energy, eV/atom: -3.575
# Crystal system: trigonal
# E_form, eV/atom: 0.31
# Density of states at the Fermi level, states/eV per atom: 0.941
data_LuGaSn2
_chemical_formula_sum 'Lu3 Ga3 Sn6'
_symmetry_space_group_name_H-M 'R -3 m'
_symmetry_Int_Tables_number 166
_symmetry_space_group_name_Hall '-R 3 2"'
_cell_length_a 4.8819
_cell_length_b 4.8819
_cell_length_c 22.9590
_cell_angle_alpha 90.00
_cell_angle_beta 90.00
_cell_angle_gamma 120.00
loop_
_atom_site_label
_atom_site_type_symbol
_atom_site_fract_x
_atom_site_fract_y
_atom_site_fract_z
Lu1 Lu 0.0000 0.0000 0.0000
Ga1 Ga 0.0000 0.0000 0.5000
Sn1 Sn 0.0000 0.0000 0.3847

***

No. 4
# YLuGaSn | the Alexandria database | GGA-PBE | relaxed
# Mass density, kg/m3: 7647
# Raw total energy, eV/atom: -5.021
# Crystal system: cubic
# E_form, eV/atom: -0.52
# Density of states at the Fermi level, states/eV per atom: 0.857
data_YLuGaSn
_chemical_formula_sum 'Y4 Lu4 Ga4 Sn4'
_symmetry_space_group_name_H-M 'F -4 3 m'
_symmetry_Int_Tables_number 216
_symmetry_space_group_name_Hall 'F -4 2 3'
_cell_length_a 7.3242
_cell_length_b 7.3242
_cell_length_c 7.3242
_cell_angle_alpha 90.00
_cell_angle_beta 90.00
_cell_angle_gamma 90.00
loop_
_atom_site_label
_atom_site_type_symbol
_atom_site_fract_x
_atom_site_fract_y
_atom_site_fract_z
Y1 Y 0.0000 0.0000 0.0000
Lu1 Lu 0.0000 0.0000 0.5000
Ga1 Ga 0.2500 0.2500 0.7500
Sn1 Sn 0.2500 0.2500 0.2500

***

No. 5
# SrLuTlGa | the Alexandria database | GGA-PBE | relaxed
# Mass density, kg/m3: 8081
# Raw total energy, eV/atom: -3.205
# Crystal system: cubic
# E_form, eV/atom: -0.31
# Density of states at the Fermi level, states/eV per atom: 0.604
data_SrLuTlGa
_chemical_formula_sum 'Sr4 Lu4 Tl4 Ga4'
_symmetry_space_group_name_H-M 'F -4 3 m'
_symmetry_Int_Tables_number 216
_symmetry_space_group_name_Hall 'F -4 2 3'
_cell_length_a 7.6126
_cell_length_b 7.6126
_cell_length_c 7.6126
_cell_angle_alpha 90.00
_cell_angle_beta 90.00
_cell_angle_gamma 90.00
loop_
_atom_site_label
_atom_site_type_symbol
_atom_site_fract_x
_atom_site_fract_y
_atom_site_fract_z
Sr1 Sr 0.0000 0.0000 0.0000
Lu1 Lu 0.0000 0.0000 0.5000
Tl1 Tl 0.2500 0.2500 0.2500
Ga1 Ga 0.2500 0.2500 0.7500

***

No. 6
# SrLuZnGa | the Alexandria database | GGA-PBE | relaxed
# Mass density, kg/m3: 6575
# Raw total energy, eV/atom: -2.912
# Crystal system: cubic
# E_form, eV/atom: -0.29
# Density of states at the Fermi level, states/eV per atom: 0.675
data_SrLuZnGa
_chemical_formula_sum 'Sr4 Lu4 Zn4 Ga4'
_symmetry_space_group_name_H-M 'F -4 3 m'
_symmetry_Int_Tables_number 216
_symmetry_space_group_name_Hall 'F -4 2 3'
_cell_length_a 7.3791
_cell_length_b 7.3791
_cell_length_c 7.3791
_cell_angle_alpha 90.00
_cell_angle_beta 90.00
_cell_angle_gamma 90.00
loop_
_atom_site_label
_atom_site_type_symbol
_atom_site_fract_x
_atom_site_fract_y
_atom_site_fract_z
Sr1 Sr 0.0000 0.0000 0.0000
Lu1 Lu 0.0000 0.0000 0.5000
Zn1 Zn 0.2500 0.2500 0.7500
Ga1 Ga 0.2500 0.2500 0.2500

***

No. 7
# LuTaGa4 | the Alexandria database | GGA-PBE | relaxed
# Mass density, kg/m3: 10255
# Raw total energy, eV/atom: -4.985
# Crystal system: cubic
# E_form, eV/atom: -0.24
# Density of states at the Fermi level, states/eV per atom: 0.403
data_LuTaGa4
_chemical_formula_sum 'Lu4 Ta4 Ga16'
_symmetry_space_group_name_H-M 'F -4 3 m'
_symmetry_Int_Tables_number 216
_symmetry_space_group_name_Hall 'F -4 2 3'
_cell_length_a 7.4360
_cell_length_b 7.4360
_cell_length_c 7.4360
_cell_angle_alpha 90.00
_cell_angle_beta 90.00
_cell_angle_gamma 90.00
loop_
_atom_site_label
_atom_site_type_symbol
_atom_site_fract_x
_atom_site_fract_y
_atom_site_fract_z
Lu1 Lu 0.0000 0.0000 0.0000
Ta1 Ta 0.2500 0.2500 0.2500
Ga1 Ga 0.1248 0.1248 0.6248

***

No. 8
# TbLu2Ga | the Alexandria database | GGA-PBE | relaxed
# Mass density, kg/m3: 9145
# Excess energy over the best structure of this formula in the dataset, meV per atom: 0.0
# Raw total energy, eV/atom: -4.466
# Crystal system: tetragonal
# E_form, eV/atom: -0.29
# Density of states at the Fermi level, states/eV per atom: 0.910
data_TbLu2Ga
_chemical_formula_sum 'Tb1 Lu2 Ga1'
_symmetry_space_group_name_H-M 'P 4/m m m'
_symmetry_Int_Tables_number 123
_symmetry_space_group_name_Hall '-P 4 2'
_cell_length_a 3.4726
_cell_length_b 3.4726
_cell_length_c 8.7120
_cell_angle_alpha 90.00
_cell_angle_beta 90.00
_cell_angle_gamma 90.00
loop_
_atom_site_label
_atom_site_type_symbol
_atom_site_fract_x
_atom_site_fract_y
_atom_site_fract_z
Tb1 Tb 0.0000 0.0000 0.0000
Lu1 Lu 0.5000 0.5000 0.2912
Ga1 Ga 0.0000 0.0000 0.5000

***

No. 9
# Tb2LuGa | the Alexandria database | GGA-PBE | relaxed
# Mass density, kg/m3: 8992
# Excess energy over the best structure of this formula in the dataset, meV per atom: 21.8
# Raw total energy, eV/atom: -4.441
# Crystal system: tetragonal
# E_form, eV/atom: -0.24
# Density of states at the Fermi level, states/eV per atom: 1.319
data_Tb2LuGa
_chemical_formula_sum 'Tb2 Lu1 Ga1'
_symmetry_space_group_name_H-M 'P 4/m m m'
_symmetry_Int_Tables_number 123
_symmetry_space_group_name_Hall '-P 4 2'
_cell_length_a 4.7037
_cell_length_b 4.7037
_cell_length_c 4.6957
_cell_angle_alpha 90.00
_cell_angle_beta 90.00
_cell_angle_gamma 90.00
loop_
_atom_site_label
_atom_site_type_symbol
_atom_site_fract_x
_atom_site_fract_y
_atom_site_fract_z
Tb1 Tb 0.0000 0.5000 0.0000
Lu1 Lu 0.0000 0.0000 0.5000
Ga1 Ga 0.5000 0.5000 0.5000

***

No. 10
# TbLuGa2 | the Alexandria database | GGA-PBE | relaxed
# Mass density, kg/m3: 8838
# Raw total energy, eV/atom: -4.373
# Crystal system: tetragonal
# E_form, eV/atom: -0.57
# Density of states at the Fermi level, states/eV per atom: 0.461
data_TbLuGa2
_chemical_formula_sum 'Tb1 Lu1 Ga2'
_symmetry_space_group_name_H-M 'P 4/m m m'
_symmetry_Int_Tables_number 123
_symmetry_space_group_name_Hall '-P 4 2'
_cell_length_a 3.5422
_cell_length_b 3.5422
_cell_length_c 7.0877
_cell_angle_alpha 90.00
_cell_angle_beta 90.00
_cell_angle_gamma 90.00
loop_
_atom_site_label
_atom_site_type_symbol
_atom_site_fract_x
_atom_site_fract_y
_atom_site_fract_z
Tb1 Tb 0.0000 0.0000 0.0000
Lu1 Lu 0.0000 0.0000 0.5000
Ga1 Ga 0.5000 0.5000 0.2599

***

No. 11
# TbLu2Ga | the Alexandria database | GGA-PBE | relaxed
# Mass density, kg/m3: 9466
# Excess energy over the best structure of this formula in the dataset, meV per atom: 54.1
# Raw total energy, eV/atom: -4.412
# Crystal system: tetragonal
# E_form, eV/atom: -0.24
# Density of states at the Fermi level, states/eV per atom: 1.170
data_TbLu2Ga
_chemical_formula_sum 'Tb1 Lu2 Ga1'
_symmetry_space_group_name_H-M 'P 4/m m m'
_symmetry_Int_Tables_number 123
_symmetry_space_group_name_Hall '-P 4 2'
_cell_length_a 4.6608
_cell_length_b 4.6608
_cell_length_c 4.6721
_cell_angle_alpha 90.00
_cell_angle_beta 90.00
_cell_angle_gamma 90.00
loop_
_atom_site_label
_atom_site_type_symbol
_atom_site_fract_x
_atom_site_fract_y
_atom_site_fract_z
Tb1 Tb 0.0000 0.0000 0.0000
Lu1 Lu 0.0000 0.5000 0.5000
Ga1 Ga 0.5000 0.5000 0.0000

***

No. 12
# TbLuGa2 | the Alexandria database | GGA-PBE | relaxed
# Mass density, kg/m3: 8068
# Raw total energy, eV/atom: -4.217
# Crystal system: trigonal
# E_form, eV/atom: -0.42
# Density of states at the Fermi level, states/eV per atom: 0.483
data_TbLuGa2
_chemical_formula_sum 'Tb3 Lu3 Ga6'
_symmetry_space_group_name_H-M 'R -3 m'
_symmetry_Int_Tables_number 166
_symmetry_space_group_name_Hall '-R 3 2"'
_cell_length_a 3.5999
_cell_length_b 3.5999
_cell_length_c 26.0417
_cell_angle_alpha 90.00
_cell_angle_beta 90.00
_cell_angle_gamma 120.00
loop_
_atom_site_label
_atom_site_type_symbol
_atom_site_fract_x
_atom_site_fract_y
_atom_site_fract_z
Tb1 Tb 0.0000 0.0000 0.0000
Lu1 Lu 0.0000 0.0000 0.5000
Ga1 Ga 0.0000 0.0000 0.2484

***

What did the third record say?
# LuGaSn2 | the Alexandria database | GGA-PBE | relaxed
# Mass density, kg/m3: 5068
# Excess energy over the best structure of this formula in the dataset, meV per atom: 687.2
# Raw total energy, eV/atom: -3.575
# Crystal system: trigonal
# E_form, eV/atom: 0.31
# Density of states at the Fermi level, states/eV per atom: 0.941
data_LuGaSn2
_chemical_formula_sum 'Lu3 Ga3 Sn6'
_symmetry_space_group_name_H-M 'R -3 m'
_symmetry_Int_Tables_number 166
_symmetry_space_group_name_Hall '-R 3 2"'
_cell_length_a 4.8819
_cell_length_b 4.8819
_cell_length_c 22.9590
_cell_angle_alpha 90.00
_cell_angle_beta 90.00
_cell_angle_gamma 120.00
loop_
_atom_site_label
_atom_site_type_symbol
_atom_site_fract_x
_atom_site_fract_y
_atom_site_fract_z
Lu1 Lu 0.0000 0.0000 0.0000
Ga1 Ga 0.0000 0.0000 0.5000
Sn1 Sn 0.0000 0.0000 0.3847

***

The highest mass density belongs to which entry? LuTaGa4

***

Which of these has the lowest E_form? number 10